Entry 1:
A plane-wave DFT calculation with PBE was carried out for BaCoBr2 after structural relaxation.

```
data_BaCoBr2
_symmetry_space_group_name_H-M 'F m -3 m'
_symmetry_Int_Tables_number 225
_symmetry_space_group_name_Hall '-F 4 2 3'
_cell_length_a 7.8126
_cell_length_b 7.8126
_cell_length_c 7.8126
_cell_angle_alpha 90.00
_cell_angle_beta 90.00
_cell_angle_gamma 90.00
loop_
_atom_site_label
_atom_site_type_symbol
_atom_site_fract_x
_atom_site_fract_y
_atom_site_fract_z
_atom_site_occupancy
Ba1 Ba 0.0000 0.0000 0.0000 1
Co1 Co 0.0000 0.0000 0.5000 1
Br1 Br 0.2500 0.2500 0.2500 1
```

Calculated values
ΔE_f (raw): -498 meV/atom
Total energy: -3.591 eV/atom



Entry 2:
A plane-wave DFT calculation with PBE was carried out for Ba2In4AgPd3 after structural relaxation.

```
data_Ba2In4AgPd3
_symmetry_space_group_name_H-M 'P -4 m 2'
_symmetry_Int_Tables_number 115
_symmetry_space_group_name_Hall 'P -4 -2'
_cell_length_a 4.9147
_cell_length_b 4.9147
_cell_length_c 10.7323
_cell_angle_alpha 90.00
_cell_angle_beta 90.00
_cell_angle_gamma 90.00
loop_
_atom_site_label
_atom_site_type_symbol
_atom_site_fract_x
_atom_site_fract_y
_atom_site_fract_z
_atom_site_occupancy
Ba1 Ba 0.0000 0.5000 0.2424 1
In1 In 0.0000 0.0000 0.5000 1
In2 In 0.0000 0.5000 0.8766 1
In3 In 0.5000 0.5000 0.5000 1
Ag1 Ag 0.5000 0.5000 0.0000 1
Pd1 Pd 0.0000 0.0000 0.0000 1
Pd2 Pd 0.0000 0.5000 0.6220 1
```

Calculated values
Total energy: -3.838 eV/atom



Entry 3:
A plane-wave DFT calculation with PBE was carried out for Ba3BeB after structural relaxation.

```
data_Ba3BeB
_symmetry_space_group_name_H-M 'P m -3 m'
_symmetry_Int_Tables_number 221
_symmetry_space_group_name_Hall '-P 4 2 3'
_cell_length_a 5.8628
_cell_length_b 5.8628
_cell_length_c 5.8628
_cell_angle_alpha 90.00
_cell_angle_beta 90.00
_cell_angle_gamma 90.00
loop_
_atom_site_label
_atom_site_type_symbol
_atom_site_fract_x
_atom_site_fract_y
_atom_site_fract_z
_atom_site_occupancy
Ba1 Ba 0.0000 0.0000 0.5000 1
Be1 Be 0.5000 0.5000 0.5000 1
B1 B 0.0000 0.0000 0.0000 1
```

Calculated values
Total energy: -2.442 eV/atom



Entry 4:
A plane-wave DFT calculation with PBE was carried out for K2TlSn after structural relaxation.

```
data_K2TlSn
_symmetry_space_group_name_H-M 'P 4/m m m'
_symmetry_Int_Tables_number 123
_symmetry_space_group_name_Hall '-P 4 2'
_cell_length_a 6.1971
_cell_length_b 6.1971
_cell_length_c 3.8101
_cell_angle_alpha 90.00
_cell_angle_beta 90.00
_cell_angle_gamma 90.00
loop_
_atom_site_label
_atom_site_type_symbol
_atom_site_fract_x
_atom_site_fract_y
_atom_site_fract_z
_atom_site_occupancy
K1 K 0.0000 0.5000 0.0000 1
Tl1 Tl 0.0000 0.0000 0.5000 1
Sn1 Sn 0.5000 0.5000 0.5000 1
```

Calculated values
Total energy: -2.133 eV/atom



Entry 5:
A plane-wave DFT calculation with PBE was carried out for Pr7Nd2Y2 after structural relaxation.

```
data_Pr7Nd2Y2
_symmetry_space_group_name_H-M 'C 1 2/m 1'
_symmetry_Int_Tables_number 12
_symmetry_space_group_name_Hall '-C 2y'
_cell_length_a 11.7924
_cell_length_b 11.6352
_cell_length_c 6.1920
_cell_angle_alpha 90.00
_cell_angle_beta 112.12
_cell_angle_gamma 90.00
loop_
_atom_site_label
_atom_site_type_symbol
_atom_site_fract_x
_atom_site_fract_y
_atom_site_fract_z
_atom_site_occupancy
Pr1 Pr 0.0000 0.0000 0.0000 1
Pr2 Pr 0.1822 0.2286 0.1769 1
Pr3 Pr 0.2296 0.0000 0.5993 1
Nd1 Nd 0.0755 0.5000 0.8004 1
Y1 Y 0.0000 0.2173 0.5000 1
```

Calculated values
Total energy: -4.956 eV/atom



Entry 6:
A plane-wave DFT calculation with PBE was carried out for Pr2MnZn2Pd5 after structural relaxation.

```
data_Pr2MnZn2Pd5
_symmetry_space_group_name_H-M 'P 4/m b m'
_symmetry_Int_Tables_number 127
_symmetry_space_group_name_Hall '-P 4 2ab'
_cell_length_a 9.8646
_cell_length_b 9.8646
_cell_length_c 3.8094
_cell_angle_alpha 90.00
_cell_angle_beta 90.00
_cell_angle_gamma 90.00
loop_
_atom_site_label
_atom_site_type_symbol
_atom_site_fract_x
_atom_site_fract_y
_atom_site_fract_z
_atom_site_occupancy
Pr1 Pr 0.1785 0.3215 0.0000 1
Mn1 Mn 0.0000 0.0000 0.0000 1
Zn1 Zn 0.1194 0.6194 0.0000 1
Pd1 Pd 0.0000 0.5000 0.5000 1
Pd2 Pd 0.0618 0.7974 0.5000 1
```

Calculated values
Total energy: -5.261 eV/atom



Repeat the second record exactly.
A plane-wave DFT calculation with PBE was carried out for Ba2In4AgPd3 after structural relaxation.

```
data_Ba2In4AgPd3
_symmetry_space_group_name_H-M 'P -4 m 2'
_symmetry_Int_Tables_number 115
_symmetry_space_group_name_Hall 'P -4 -2'
_cell_length_a 4.9147
_cell_length_b 4.9147
_cell_length_c 10.7323
_cell_angle_alpha 90.00
_cell_angle_beta 90.00
_cell_angle_gamma 90.00
loop_
_atom_site_label
_atom_site_type_symbol
_atom_site_fract_x
_atom_site_fract_y
_atom_site_fract_z
_atom_site_occupancy
Ba1 Ba 0.0000 0.5000 0.2424 1
In1 In 0.0000 0.0000 0.5000 1
In2 In 0.0000 0.5000 0.8766 1
In3 In 0.5000 0.5000 0.5000 1
Ag1 Ag 0.5000 0.5000 0.0000 1
Pd1 Pd 0.0000 0.0000 0.0000 1
Pd2 Pd 0.0000 0.5000 0.6220 1
```

Calculated values
Total energy: -3.838 eV/atom



Q: Among the records above, which one has the lowest total energy?
A: Pr2MnZn2Pd5



Q: Number 1 is which compound?
A: BaCoBr2



Q: What is the total energy in the first record?
A: -3.591 eV/atom